## ErNpCr2O6 (GGA+U)

Data for crystalline ErNpCr2O6 at its relaxed geometry.

Properties
* calculated total energy: -8.7657 eV per atom
* total moment: 10.000 μB/cell

Lattice parameters (Å, degrees): 5.5502 5.5879 5.7389 62.66 62.18 58.26
With the nearest neighbours (Å) after each atom.
Atoms (fractional coordinates):
Er  0.8009  0.8103  0.5759  6 O 2.19-2.38
Np  0.3043  0.3076  0.0760  6 O 2.19-2.35
Cr  0.5150  0.5171  0.4538  6 O 2.01-2.14
Cr  0.0221  0.0225  0.9427  5 O 2.08-2.25
O  0.6390  0.2359  0.2432  2 Cr 2.06-2.17, 1 Np 2.25, 1 Er 2.30
O  0.2363  0.8820  0.2421  2 Cr 2.05-2.16, 1 Np 2.29
O  0.8745  0.6135  0.2639  1 Cr 2.01, 1 Np 2.19
O  0.3938  0.7223  0.7419  2 Cr 2.08-2.10, 1 Er 2.23
O  0.7233  0.1410  0.7453  2 Cr 2.09-2.14, 1 Er 2.23, 1 Np 2.26
O  0.1524  0.4094  0.7304  2 Cr 2.08-2.25, 1 Er 2.19, 1 Np 2.23